# AlCuGeB2 GGA-PBE optimized geometry
data_AlCuGeB2
_cell_length_a 4.082
_cell_length_b 4.082
_cell_length_c 4.785
_cell_angle_alpha 90.00
_cell_angle_beta 90.00
_cell_angle_gamma 90.00
_space_group_name_H-M_alt 'P 4/m m m'
_space_group_IT_number 123
_space_group_name_Hall '-P 4 2'
loop_
_atom_site_label
_atom_site_fract_x
_atom_site_fract_y
_atom_site_fract_z
Al1 0.000 0.000 0.000
Cu1 0.000 0.000 0.500
Ge1 0.500 0.500 0.500
B1 0.000 0.500 0.000
# Crystal system: tetragonal

# AlIn2CuB GGA-PBE optimized geometry
data_AlIn2CuB
_cell_length_a 5.222
_cell_length_b 5.222
_cell_length_c 3.795
_cell_angle_alpha 90.00
_cell_angle_beta 90.00
_cell_angle_gamma 90.00
_space_group_name_H-M_alt 'P 4/m m m'
_space_group_IT_number 123
_space_group_name_Hall '-P 4 2'
loop_
_atom_site_label
_atom_site_fract_x
_atom_site_fract_y
_atom_site_fract_z
Al1 0.000 0.000 0.000
In1 0.000 0.500 0.500
Cu1 0.500 0.500 0.500
B1 0.500 0.500 0.000
# Crystal system: tetragonal

# KAlCu2B GGA-PBE optimized geometry
data_KAlCu2B
_cell_length_a 4.391
_cell_length_b 4.391
_cell_length_c 4.176
_cell_angle_alpha 90.00
_cell_angle_beta 90.00
_cell_angle_gamma 90.00
_space_group_name_H-M_alt 'P 4/m m m'
_space_group_IT_number 123
_space_group_name_Hall '-P 4 2'
loop_
_atom_site_label
_atom_site_fract_x
_atom_site_fract_y
_atom_site_fract_z
K1 0.000 0.000 0.000
Al1 0.500 0.500 0.000
Cu1 0.000 0.500 0.500
B1 0.500 0.500 0.500
# Crystal system: tetragonal

no.,uncorrected energy (eV per cell)
1,-18.79
2,-16.74
3,-17.64